CeNdAu2 after structural relaxation, computed with PBE.

electronic total energy = -5.03 eV/atom
energy relative to the elements = -0.72 eV per atom
calculated density = 10.7 g/cm³
magnetic moment = 0.91 μB per formula unit

Unit cell a=4.7749 b=3.8889 c=11.3651 alpha=90.00 beta=90.00 gamma=90.00
Closest atoms and distances in Å follow each position.
Positions (direct):
Ce  0.0000  0.0000  0.0000  7 Au 3.13-3.19
Ce  0.0000  0.5000  0.5000  7 Au 3.13-3.19
Nd  0.5000  0.0000  0.7241  7 Au 3.10-3.23
Nd  0.5000  0.5000  0.2241  7 Au 3.10-3.23
Au  0.0000  0.0000  0.2779  2 Au 3.10, 4 Nd 3.14, 3 Ce 3.16-3.19
Au  0.0000  0.5000  0.7779  2 Au 3.10, 4 Nd 3.14, 3 Ce 3.16-3.19
Au  0.5000  0.0000  0.4512  2 Au 3.10, 3 Nd 3.10-3.23, 4 Ce 3.13
Au  0.5000  0.5000  0.9512  2 Au 3.10, 3 Nd 3.10-3.23, 4 Ce 3.13

Ce2NdAu4 after structural relaxation, computed with PBE.

electronic total energy = -4.79 eV/atom
energy relative to the elements = -0.54 eV per atom
calculated density = 10.7 g/cm³
magnetic moment = 2.05 μB per formula unit

Unit cell a=5.3705 b=5.3705 c=13.0591 alpha=90.00 beta=90.00 gamma=90.00
Closest atoms and distances in Å follow each position.
Positions (direct):
Ce  0.0000  0.0000  0.2204  4 Au 2.98
Ce  0.0000  0.0000  0.7796  4 Au 2.98
Ce  0.5000  0.5000  0.2796  4 Au 2.98
Ce  0.5000  0.5000  0.7204  4 Au 2.98
Nd  0.0000  0.0000  0.5000  8 Au 3.11
Nd  0.5000  0.5000  0.0000  8 Au 3.11
Au  0.0000  0.5000  0.1207  2 Ce 2.98, 2 Nd 3.11, 1 Au 3.15
Au  0.0000  0.5000  0.3793  2 Ce 2.98, 2 Nd 3.11, 1 Au 3.15
Au  0.0000  0.5000  0.6207  2 Ce 2.98, 2 Nd 3.11, 1 Au 3.15
Au  0.0000  0.5000  0.8793  2 Ce 2.98, 2 Nd 3.11, 1 Au 3.15
Au  0.5000  0.0000  0.1207  2 Ce 2.98, 2 Nd 3.11, 1 Au 3.15
Au  0.5000  0.0000  0.3793  2 Ce 2.98, 2 Nd 3.11, 1 Au 3.15
Au  0.5000  0.0000  0.6207  2 Ce 2.98, 2 Nd 3.11, 1 Au 3.15
Au  0.5000  0.0000  0.8793  2 Ce 2.98, 2 Nd 3.11, 1 Au 3.15

CeNdAu after structural relaxation, computed with PBE.

electronic total energy = -4.97 eV/atom
distance to the lowest polymorph of the same formula = 44.1 kJ/mol of formula units
energy relative to the elements = -0.31 eV per atom
calculated density = 9.8 g/cm³
magnetic moment = 0.29 μB per formula unit

Unit cell a=10.4354 b=3.6546 c=8.7857 alpha=90.00 beta=103.89 gamma=90.00
Closest atoms and distances in Å follow each position.
Positions (direct):
Ce  0.1477  0.0000  0.4543  2 Ce 2.78
Ce  0.3523  0.5000  0.5457  2 Ce 2.78
Ce  0.6477  0.5000  0.4543  2 Ce 2.78
Ce  0.8523  0.0000  0.5457  2 Ce 2.78
Nd  0.1637  0.5000  0.1231  4 Au 3.10-3.27, 2 Ce 3.47
Nd  0.3363  0.0000  0.8769  4 Au 3.10-3.27, 2 Ce 3.47
Nd  0.6637  0.0000  0.1231  4 Au 3.10-3.27, 2 Ce 3.47
Nd  0.8363  0.5000  0.8769  4 Au 3.10-3.27, 2 Ce 3.47
Au  0.0958  0.5000  0.7399  4 Nd 3.10-3.27, 4 Ce 3.25-3.26
Au  0.4042  0.0000  0.2601  4 Nd 3.10-3.27, 4 Ce 3.25-3.26
Au  0.5958  0.0000  0.7399  4 Nd 3.10-3.27, 4 Ce 3.25-3.26
Au  0.9042  0.5000  0.2601  4 Nd 3.10-3.27, 4 Ce 3.25-3.26

CeNdAu2 after structural relaxation, computed with PBE.

electronic total energy = -4.99 eV/atom
energy relative to the elements = -0.67 eV per atom
calculated density = 11.0 g/cm³
magnetic moment = 1.12 μB per formula unit

Unit cell a=5.2588 b=5.2588 c=3.6893 alpha=90.00 beta=90.00 gamma=90.00
Closest atoms and distances in Å follow each position.
Positions (direct):
Ce  0.0000  0.0000  0.0000  8 Au 3.21
Nd  0.5000  0.5000  0.0000  8 Au 3.21
Au  0.0000  0.5000  0.5000  4 Ce 3.21, 4 Nd 3.21
Au  0.5000  0.0000  0.5000  4 Ce 3.21, 4 Nd 3.21

CeNdAu2 after structural relaxation, computed with PBE.

electronic total energy = -4.88 eV/atom
energy relative to the elements = -0.57 eV per atom
calculated density = 9.9 g/cm³
magnetic moment = 1.17 μB per formula unit

Unit cell a=4.1205 b=4.1205 c=23.2865 alpha=90.00 beta=90.00 gamma=120.00
Closest atoms and distances in Å follow each position.
Positions (direct):
Ce  0.0000  0.0000  0.0000  6 Au 3.06
Ce  0.3333  0.6667  0.6667  6 Au 3.06
Ce  0.6667  0.3333  0.3333  6 Au 3.06
Nd  0.0000  0.0000  0.5000  6 Au 3.08
Nd  0.3333  0.6667  0.1667  6 Au 3.08
Nd  0.6667  0.3333  0.8333  6 Au 3.08
Au  0.0000  0.0000  0.2509  3 Ce 3.06, 3 Nd 3.08
Au  0.0000  0.0000  0.7491  3 Ce 3.06, 3 Nd 3.08
Au  0.3333  0.6667  0.4158  3 Ce 3.06, 3 Nd 3.08
Au  0.3333  0.6667  0.9175  3 Ce 3.06, 3 Nd 3.08
Au  0.6667  0.3333  0.0825  3 Ce 3.06, 3 Nd 3.08
Au  0.6667  0.3333  0.5842  3 Ce 3.06, 3 Nd 3.08

CeNdAu after structural relaxation, computed with PBE.

electronic total energy = -4.35 eV/atom
distance to the lowest polymorph of the same formula = 225.6 kJ/mol of formula units
energy relative to the elements = 0.31 eV per atom
calculated density = 8.6 g/cm³
magnetic moment = 1.28 μB per formula unit

Unit cell a=3.3042 b=3.3042 c=16.9356 alpha=90.00 beta=90.00 gamma=90.00
Closest atoms and distances in Å follow each position.
Positions (direct):
Ce  0.0000  0.0000  0.0000  1 Au 2.86
Ce  0.5000  0.5000  0.5000  1 Au 2.86
Nd  0.0000  0.0000  0.3411  1 Au 2.92
Nd  0.5000  0.5000  0.8411  1 Au 2.92
Au  0.0000  0.0000  0.1689  1 Ce 2.86, 1 Nd 2.92
Au  0.5000  0.5000  0.6689  1 Ce 2.86, 1 Nd 2.92

CeNdAu after structural relaxation, computed with PBE.

electronic total energy = -4.95 eV/atom
distance to the lowest polymorph of the same formula = 50.0 kJ/mol of formula units
energy relative to the elements = -0.29 eV per atom
calculated density = 10.2 g/cm³
magnetic moment = 0.45 μB per formula unit

Unit cell a=4.9294 b=4.9294 c=3.7370 alpha=90.00 beta=90.00 gamma=120.00
Closest atoms and distances in Å follow each position.
Positions (direct):
Ce  0.0000  0.0000  0.0000  3 Au 3.06, 3 Nd 3.14
Nd  0.6667  0.3333  0.3572  3 Au 3.12, 3 Ce 3.14
Au  0.3333  0.6667  0.6984  3 Ce 3.06, 3 Nd 3.12

CeNdRhAu after structural relaxation, computed with PBE.

electronic total energy = -5.96 eV/atom
distance to the lowest polymorph of the same formula = 45.3 kJ/mol of formula units
energy relative to the elements = -0.63 eV per atom
calculated density = 10.3 g/cm³
magnetic moment = 0.81 μB per formula unit

Unit cell a=7.2282 b=7.2282 c=7.2282 alpha=90.00 beta=90.00 gamma=90.00
Closest atoms and distances in Å follow each position.
Positions (direct):
Ce  0.0000  0.0000  0.0000  4 Rh 3.13, 4 Au 3.13
Ce  0.0000  0.5000  0.5000  4 Rh 3.13, 4 Au 3.13
Ce  0.5000  0.0000  0.5000  4 Rh 3.13, 4 Au 3.13
Ce  0.5000  0.5000  0.0000  4 Rh 3.13, 4 Au 3.13
Nd  0.0000  0.0000  0.5000  4 Rh 3.13, 4 Au 3.13
Nd  0.0000  0.5000  0.0000  4 Rh 3.13, 4 Au 3.13
Nd  0.5000  0.0000  0.0000  4 Rh 3.13, 4 Au 3.13
Nd  0.5000  0.5000  0.5000  4 Rh 3.13, 4 Au 3.13
Rh  0.2500  0.2500  0.2500  4 Ce 3.13, 4 Nd 3.13
Rh  0.2500  0.7500  0.7500  4 Ce 3.13, 4 Nd 3.13
Rh  0.7500  0.2500  0.7500  4 Ce 3.13, 4 Nd 3.13
Rh  0.7500  0.7500  0.2500  4 Ce 3.13, 4 Nd 3.13
Au  0.2500  0.2500  0.7500  4 Ce 3.13, 4 Nd 3.13
Au  0.2500  0.7500  0.2500  4 Ce 3.13, 4 Nd 3.13
Au  0.7500  0.2500  0.2500  4 Ce 3.13, 4 Nd 3.13
Au  0.7500  0.7500  0.7500  4 Ce 3.13, 4 Nd 3.13